## CsZrTeN2 (PBE-GGA)

Data for a geometry-optimized CsZrTeN2 structure.

Output
E above lowest polymorph	0.000	eV per atom
VASP energy	-5.50	eV/atom
crystal system	tetragonal
density of states at the Fermi level	1.228	states/eV per atom

a b c (Å): 4.516 4.516 5.886
angles (deg): 90.00 90.00 90.00
Fractional coordinates of all 5 atoms:
Zr 0.000 0.000 0.000
Cs 0.500 0.500 0.500
N 0.000 0.500 0.000
N 0.500 0.000 0.000
Te 0.000 0.000 0.500

## CsZrTeN2 (PBE-GGA)

Data for a geometry-optimized CsZrTeN2 structure.

Output
E above lowest polymorph	1.720	eV per atom
VASP energy	-3.78	eV/atom
crystal system	tetragonal
density of states at the Fermi level	0.790	states/eV per atom

a b c (Å): 4.334 4.334 6.470
angles (deg): 90.00 90.00 90.00
Fractional coordinates of all 5 atoms:
N 0.500 0.000 0.000
N 0.000 0.500 0.000
Cs 0.000 0.000 0.000
Te 0.000 0.000 0.500
Zr 0.500 0.500 0.500

## CsZrTe2N (PBE-GGA)

Data for a geometry-optimized CsZrTe2N structure.

Output
E above lowest polymorph	0.000	eV per atom
VASP energy	-5.18	eV/atom
crystal system	tetragonal
density of states at the Fermi level	0.494	states/eV per atom

a b c (Å): 6.268 6.268 4.006
angles (deg): 90.00 90.00 90.00
Fractional coordinates of all 5 atoms:
Te 0.500 0.000 0.000
Te 0.000 0.500 0.000
N 0.000 0.000 0.500
Cs 0.500 0.500 0.500
Zr 0.000 0.000 0.000

## Cs2ThW2N6 (PBE-GGA)

Data for a geometry-optimized Cs2ThW2N6 structure.

Output
VASP energy	-8.09	eV/atom
crystal system	monoclinic
density of states at the Fermi level	0.663	states/eV per atom

a b c (Å): 6.574 6.576 7.561
angles (deg): 115.80 90.00 119.99
Fractional coordinates of all 11 atoms:
Cs 0.279 0.558 0.836
Cs 0.721 0.442 0.164
N 0.253 0.506 0.291
N 0.747 0.494 0.709
N 0.217 0.964 0.710
N 0.253 0.036 0.290
N 0.783 0.036 0.290
N 0.747 0.964 0.710
W 0.072 0.144 0.217
W 0.928 0.856 0.783
Th 0.500 0.000 0.500

- Number 2 is which compound?
  CsZrTeN2